(1)
The following is a DFT calculation (PBE) of Y2MgAs after structural relaxation.

Cell lengths 4.1413, 4.2593, 11.3282 Å; angles 90.00, 90.00, 90.00 degrees
Fractional positions:
Y  0.0000  0.0000  0.0000
Y  0.0000  0.5000  0.5000
Y  0.5000  0.0000  0.2920
Y  0.5000  0.5000  0.7920
Mg  0.5000  0.0000  0.5740
Mg  0.5000  0.5000  0.0740
As  0.0000  0.0000  0.7320
As  0.0000  0.5000  0.2320

The space-group type is No. 38. As for the energy relative to the lowest polymorph listed for this composition: 0.0 meV per atom. The uncorrected energy is -5.495 eV per atom.

(2)
The following is a DFT calculation (PBE) of YMg2As after structural relaxation.

Cell lengths 3.7602, 4.4299, 11.3549 Å; angles 90.00, 90.00, 90.00 degrees
Fractional positions:
Y  0.0000  0.0000  0.0000
Y  0.5000  0.5000  0.5000
Mg  0.0000  0.5000  0.2182
Mg  0.0000  0.5000  0.7818
Mg  0.5000  0.0000  0.2818
Mg  0.5000  0.0000  0.7182
As  0.0000  0.0000  0.5000
As  0.5000  0.5000  0.0000

The space-group type is No. 71. The uncorrected energy is -4.088 eV per atom.

(3)
The following is a DFT calculation (PBE) of YMg2As after structural relaxation.

Cell lengths 4.2343, 4.2343, 5.0219 Å; angles 90.00, 90.00, 90.00 degrees
Fractional positions:
Y  0.0000  0.0000  0.0000
Mg  0.0000  0.5000  0.5000
Mg  0.5000  0.0000  0.5000
As  0.5000  0.5000  0.0000

The space-group type is No. 123. The uncorrected energy is -4.071 eV per atom.

| no. | energy of formation (eV per atom) |
| --- | --- |
| 1 | -0.702 |
| 2 | -0.512 |
| 3 | -0.495 |